[1]
Compound: Li12Mg5Al2
Source: Alexandria via LeMat-Bulk
Functional: PBE
Structure: relaxed

relative energy among the computed polymorphs: 39 meV/atom
total DFT energy (no corrections): -2.02 eV per atom
N(E_F): 0.50 states/eV/atom
crystal system: monoclinic
formation energy from the elements: -0.002 eV/atom
theoretical density: 1.17 g cm⁻³

```
Li12Mg5Al2
1.0
7.328 0.000 0.000
-3.664 6.702 3.246
0.000 0.742 7.810
Li Mg Al
12 5 2
direct
0.093 0.716 0.857
0.377 0.284 0.143
0.616 0.720 0.431
0.907 0.284 0.143
0.493 0.987 0.683
0.623 0.716 0.857
0.384 0.280 0.569
0.003 0.006 0.842
0.997 0.994 0.158
0.896 0.280 0.569
0.104 0.720 0.431
0.507 0.013 0.317
0.775 0.549 0.227
0.714 0.428 0.784
0.225 0.451 0.773
0.000 0.000 0.500
0.286 0.572 0.216
0.681 0.000 0.000
0.319 0.000 0.000
```

***

[2]
Compound: Ta3NiP2
Source: Alexandria via LeMat-Bulk
Functional: PBE
Structure: relaxed

total DFT energy (no corrections): -9.30 eV per atom
N(E_F): 0.46 states/eV/atom
crystal system: orthorhombic
formation energy from the elements: -0.607 eV/atom
theoretical density: 12.46 g cm⁻³

```
Ta3NiP2
1.0
3.551 0.000 0.000
0.000 9.847 0.000
0.000 0.000 10.116
Ni P Ta
4 8 12
direct
0.750 0.619 0.372
0.250 0.119 0.128
0.250 0.381 0.628
0.750 0.881 0.872
0.250 0.502 0.810
0.250 0.998 0.310
0.750 0.498 0.190
0.750 0.191 0.029
0.250 0.809 0.971
0.750 0.309 0.529
0.250 0.691 0.471
0.750 0.002 0.690
0.250 0.078 0.873
0.750 0.578 0.627
0.250 0.385 0.050
0.250 0.422 0.373
0.250 0.705 0.199
0.250 0.795 0.699
0.750 0.885 0.450
0.750 0.295 0.801
0.750 0.205 0.301
0.750 0.922 0.127
0.250 0.115 0.550
0.750 0.615 0.950
```

***

[3]
Compound: RhSe4Br
Source: Alexandria via LeMat-Bulk
Functional: PBE
Structure: relaxed

formation energy from raw total energies: 840 meV per atom
total DFT energy (no corrections): -2.99 eV per atom
N(E_F): 1.63 states/eV/atom
crystal system: cubic
theoretical density: 6.46 g cm⁻³

```
RhSe4Br
1.0
0.000 4.001 4.001
4.001 0.000 4.001
4.001 4.001 0.000
Rh Br Se
1 1 4
direct
0.000 0.000 0.000
0.750 0.750 0.750
0.374 0.374 0.374
0.374 0.877 0.374
0.877 0.374 0.374
0.374 0.374 0.877
```

***

Q: Look up the theoretical density of the third one.
A: 6.46 g cm⁻³